Record 1
# InSi3O, relaxed, DFT GGA-PBE
# Density of states at the Fermi level, states/eV/cell: 3.72
# Polymorph energy (0 for the lowest one), eV/atom: 1.490
data_InSi3O
_chemical_formula_sum 'In1 Si3 O1'
_cell_length_a 5.121
_cell_length_b 5.121
_cell_length_c 5.121
_cell_angle_alpha 90.00
_cell_angle_beta 90.00
_cell_angle_gamma 90.00
_symmetry_space_group_name_H-M 'P 1'
_symmetry_Int_Tables_number 1
_symmetry_space_group_name_Hall 'P 1'
loop_
_atom_site_label
_atom_site_fract_x
_atom_site_fract_y
_atom_site_fract_z
In1 0.000 0.000 0.000
Si1 0.000 0.000 0.500
Si2 0.000 0.500 0.000
Si3 0.500 0.000 0.000
O1 0.500 0.500 0.500


Record 2
# InSiO3, relaxed, DFT GGA-PBE
# Density of states at the Fermi level, states/eV/cell: 1.05
data_InSiO3
_chemical_formula_sum 'In1 Si1 O3'
_cell_length_a 3.629
_cell_length_b 3.629
_cell_length_c 3.629
_cell_angle_alpha 90.00
_cell_angle_beta 90.00
_cell_angle_gamma 90.00
_symmetry_space_group_name_H-M 'P 1'
_symmetry_Int_Tables_number 1
_symmetry_space_group_name_Hall 'P 1'
loop_
_atom_site_label
_atom_site_fract_x
_atom_site_fract_y
_atom_site_fract_z
In1 0.000 0.000 0.000
Si1 0.500 0.500 0.500
O1 0.000 0.500 0.500
O2 0.500 0.000 0.500
O3 0.500 0.500 0.000


Record 3
# InSiO3, relaxed, DFT GGA-PBE
# Density of states at the Fermi level, states/eV/cell: 3.86
data_InSiO3
_chemical_formula_sum 'In1 Si1 O3'
_cell_length_a 4.079
_cell_length_b 4.079
_cell_length_c 4.079
_cell_angle_alpha 90.00
_cell_angle_beta 90.00
_cell_angle_gamma 90.00
_symmetry_space_group_name_H-M 'P 1'
_symmetry_Int_Tables_number 1
_symmetry_space_group_name_Hall 'P 1'
loop_
_atom_site_label
_atom_site_fract_x
_atom_site_fract_y
_atom_site_fract_z
In1 0.000 0.000 0.000
Si1 0.500 0.500 0.500
O1 0.000 0.000 0.500
O2 0.000 0.500 0.000
O3 0.500 0.000 0.000


Record 4
# InSiO2, relaxed, DFT GGA-PBE
# Density of states at the Fermi level, states/eV/cell: 0.55
# Polymorph energy (0 for the lowest one), eV/atom: 0.000
data_InSiO2
_chemical_formula_sum 'In1 Si1 O2'
_cell_length_a 8.721
_cell_length_b 8.721
_cell_length_c 8.721
_cell_angle_alpha 18.46
_cell_angle_beta 18.46
_cell_angle_gamma 18.46
_symmetry_space_group_name_H-M 'P 1'
_symmetry_Int_Tables_number 1
_symmetry_space_group_name_Hall 'P 1'
loop_
_atom_site_label
_atom_site_fract_x
_atom_site_fract_y
_atom_site_fract_z
In1 0.000 0.000 0.000
Si1 0.500 0.500 0.500
O1 0.132 0.132 0.132
O2 0.868 0.868 0.868


Record 5
# InSi3O, relaxed, DFT GGA-PBE
# Density of states at the Fermi level, states/eV/cell: 2.62
# Polymorph energy (0 for the lowest one), eV/atom: 0.000
data_InSi3O
_chemical_formula_sum 'In1 Si3 O1'
_cell_length_a 4.344
_cell_length_b 4.344
_cell_length_c 4.344
_cell_angle_alpha 90.00
_cell_angle_beta 90.00
_cell_angle_gamma 90.00
_symmetry_space_group_name_H-M 'P 1'
_symmetry_Int_Tables_number 1
_symmetry_space_group_name_Hall 'P 1'
loop_
_atom_site_label
_atom_site_fract_x
_atom_site_fract_y
_atom_site_fract_z
In1 0.000 0.000 0.000
Si1 0.000 0.500 0.500
Si2 0.500 0.000 0.500
Si3 0.500 0.500 0.000
O1 0.500 0.500 0.500


Record 6
# In2SiO2, relaxed, DFT GGA-PBE
# Density of states at the Fermi level, states/eV/cell: 2.25
# Polymorph energy (0 for the lowest one), eV/atom: 0.000
data_In2SiO2
_chemical_formula_sum 'In2 Si1 O2'
_cell_length_a 6.146
_cell_length_b 6.146
_cell_length_c 6.146
_cell_angle_alpha 143.37
_cell_angle_beta 143.37
_cell_angle_gamma 52.77
_symmetry_space_group_name_H-M 'P 1'
_symmetry_Int_Tables_number 1
_symmetry_space_group_name_Hall 'P 1'
loop_
_atom_site_label
_atom_site_fract_x
_atom_site_fract_y
_atom_site_fract_z
In1 0.150 0.150 0.000
In2 0.850 0.850 0.000
Si1 0.500 0.500 0.000
O1 0.250 0.750 0.500
O2 0.750 0.250 0.500


| no. | raw formation energy (eV/atom) |
| --- | --- |
| 1 | 1.71 |
| 2 | -1.64 |
| 3 | -0.22 |
| 4 | -1.58 |
| 5 | 0.22 |
| 6 | -0.48 |